1.
This record from Alexandria via LeMat-Bulk describes Hg2BiAu after structural relaxation. The functional is PBE.

Electronic total energy, eV per atom: -1.829

```
data_Hg2BiAu
_cell_length_a 4.6895
_cell_length_b 4.6895
_cell_length_c 16.7468
_cell_angle_alpha 90.00
_cell_angle_beta 90.00
_cell_angle_gamma 120.00
_symmetry_space_group_name_H-M 'R 3 m'
_symmetry_Int_Tables_number 160
_symmetry_space_group_name_Hall 'R 3 -2"'
loop_
_atom_site_label
_atom_site_type_symbol
_atom_site_fract_x
_atom_site_fract_y
_atom_site_fract_z
Hg1 Hg 0.0000 0.0000 0.0000
Hg2 Hg 0.0000 0.0000 0.2031
Bi1 Bi 0.0000 0.0000 0.4299
Au1 Au 0.0000 0.0000 0.6057
```

2.
This record from Alexandria via LeMat-Bulk describes Hg3Bi5Au12 after structural relaxation. The functional is PBE.

Electronic total energy, eV per atom: -2.808

```
data_Hg3Bi5Au12
_cell_length_a 16.4341
_cell_length_b 16.4341
_cell_length_c 16.4341
_cell_angle_alpha 90.00
_cell_angle_beta 90.00
_cell_angle_gamma 90.00
_symmetry_space_group_name_H-M 'I a -3 d'
_symmetry_Int_Tables_number 230
_symmetry_space_group_name_Hall '-I 4bd 2c 3'
loop_
_atom_site_label
_atom_site_type_symbol
_atom_site_fract_x
_atom_site_fract_y
_atom_site_fract_z
Hg1 Hg 0.0000 0.2500 0.1250
Bi1 Bi 0.0000 0.0000 0.0000
Bi2 Bi 0.0000 0.2500 0.3750
Au1 Au 0.0060 0.0773 0.6557
```